Record 1
PmGeTe4: optimized geometry, PBE.

## Properties
energy relative to the elements, uncorrected: -0.55 eV per atom
D(E_F): 0.702 states/eV per atom
total magnetization: 0.0 μB/cell
energy: -4.201 eV/atom

Structure (POSCAR):
```
PmGeTe4
1.0
7.837 0.000 0.000
0.000 7.837 0.000
0.000 0.000 6.362
Pm Ge Te
2 2 8
Direct
0.250 0.250 0.000 Pm
0.750 0.750 0.000 Pm
0.250 0.750 0.500 Ge
0.750 0.250 0.500 Ge
0.055 0.555 0.247 Te
0.055 0.945 0.753 Te
0.445 0.555 0.753 Te
0.445 0.945 0.247 Te
0.555 0.055 0.753 Te
0.555 0.445 0.247 Te
0.945 0.055 0.247 Te
0.945 0.445 0.753 Te
```

Record 2
PmGeTe2: optimized geometry, PBE.

## Properties
energy relative to the elements, uncorrected: -0.83 eV per atom
D(E_F): 0.445 states/eV per atom
total magnetization: 0.0 μB/cell
energy: -4.742 eV/atom

Structure (POSCAR):
```
PmGeTe2
1.0
4.357 0.000 0.000
0.000 4.475 0.000
-2.181 0.000 5.770
Pm Ge Te
1 1 2
Direct
0.000 0.000 0.000 Pm
0.180 0.500 0.367 Ge
0.419 0.500 0.837 Te
0.701 0.000 0.404 Te
```